Entry 1:
Here is a geometry-optimized CaCe2As structure from the Alexandria database. Energies are from PBE-GGA.

Summary:
DFT formation energy: -0.35 eV per atom
density: 4.62 g/cm3
total moment: 2.887 μB per formula unit

Lattice parameters (Å, degrees): 11.1120 11.1120 11.1120 20.11 20.11 20.11
Fractional coordinates of all 4 atoms:
Ca: 0.0000 0.0000 0.0000
Ce: 0.1114 0.1114 0.1114
Ce: 0.8886 0.8886 0.8886
As: 0.5000 0.5000 0.5000

Entry 2:
Here is a geometry-optimized CaCeAs2 structure from the Alexandria database. Energies are from PBE-GGA.

Summary:
DFT formation energy: -1.21 eV per atom
density: 5.02 g/cm3
excess energy over the best structure of this formula in the dataset: 89.4 meV per atom
total moment: 0.158 μB per formula unit

Lattice parameters (Å, degrees): 7.4875 7.4875 7.4875 32.73 32.73 32.73
Fractional coordinates of all 4 atoms:
Ca: 0.0000 0.0000 0.0000
Ce: 0.1716 0.1716 0.1716
As: 0.5811 0.5811 0.5811
As: 0.7597 0.7597 0.7597

Entry 3:
Here is a geometry-optimized Ca2CeAs3 structure from the Alexandria database. Energies are from PBE-GGA.

Summary:
DFT formation energy: -1.13 eV per atom
density: 4.60 g/cm3
total moment: 0.000 μB per formula unit

Lattice parameters (Å, degrees): 7.3140 7.3140 7.3140 146.08 131.97 60.10
Fractional coordinates of all 6 atoms:
Ca: 0.1695 0.1695 0.0000
Ca: 0.8305 0.8305 0.0000
Ce: 0.5000 0.5000 0.0000
As: 0.0000 0.5000 0.5000
As: 0.3439 0.8439 0.5000
As: 0.6561 0.1561 0.5000

Entry 4:
Here is a geometry-optimized CaCe2As3 structure from the Alexandria database. Energies are from PBE-GGA.

Summary:
DFT formation energy: -1.34 eV per atom
density: 5.61 g/cm3
total moment: 1.040 μB per formula unit

Lattice parameters (Å, degrees): 7.3378 7.3378 7.3378 146.32 132.04 59.88
Fractional coordinates of all 6 atoms:
Ca: 0.0000 0.0000 0.0000
Ce: 0.3348 0.3348 0.0000
Ce: 0.6652 0.6652 0.0000
As: 0.1746 0.6746 0.5000
As: 0.5000 0.0000 0.5000
As: 0.8254 0.3254 0.5000

Entry 5:
Here is a geometry-optimized Ca3CeDy2As6 structure from the Alexandria database. Energies are from PBE-GGA.

Summary:
DFT formation energy: -1.23 eV per atom
density: 5.46 g/cm3
total moment: 0.000 μB per formula unit

Lattice parameters (Å, degrees): 7.2852 7.2852 7.2684 99.62 99.62 120.05
Fractional coordinates of all 12 atoms:
Ca: 0.0000 0.0000 0.0000
Ca: 0.3327 0.6673 0.0000
Ca: 0.6673 0.3327 0.0000
Ce: 0.5000 0.5000 0.5000
Dy: 0.1668 0.8332 0.5000
Dy: 0.8332 0.1668 0.5000
As: 0.0885 0.4213 0.2640
As: 0.2457 0.2457 0.7360
As: 0.4213 0.0885 0.2640
As: 0.5787 0.9115 0.7360
As: 0.7543 0.7543 0.2640
As: 0.9115 0.5787 0.7360

Entry 6:
Here is a geometry-optimized CaCe2DyAs4 structure from the Alexandria database. Energies are from PBE-GGA.

Summary:
DFT formation energy: -1.39 eV per atom
density: 6.20 g/cm3
total moment: 0.954 μB per formula unit

Lattice parameters (Å, degrees): 7.2198 4.2137 7.3132 90.00 109.60 90.00
Fractional coordinates of all 8 atoms:
Ca: 0.0000 0.0000 0.0000
Ce: 0.5000 0.0000 0.5000
Ce: 0.5000 0.5000 0.0000
Dy: 0.0000 0.5000 0.5000
As: 0.2503 0.0000 0.7452
As: 0.2566 0.5000 0.2577
As: 0.7434 0.5000 0.7423
As: 0.7497 0.0000 0.2548

Entry 7:
Here is a geometry-optimized CaCeDy2As4 structure from the Alexandria database. Energies are from PBE-GGA.

Summary:
DFT formation energy: -1.40 eV per atom
density: 6.52 g/cm3
total moment: 0.148 μB per formula unit

Lattice parameters (Å, degrees): 7.1854 4.1786 7.2278 90.00 109.05 90.00
Fractional coordinates of all 8 atoms:
Ca: 0.0000 0.0000 0.0000
Ce: 0.5000 0.5000 0.0000
Dy: 0.0000 0.5000 0.5000
Dy: 0.5000 0.0000 0.5000
As: 0.2525 0.0000 0.7465
As: 0.2586 0.5000 0.2552
As: 0.7414 0.5000 0.7448
As: 0.7475 0.0000 0.2535

Entry 8:
Here is a geometry-optimized CaCe2ErAs4 structure from the Alexandria database. Energies are from PBE-GGA.

Summary:
DFT formation energy: -1.38 eV per atom
density: 6.28 g/cm3
total moment: 0.960 μB per formula unit

Lattice parameters (Å, degrees): 7.1945 4.2058 7.3030 90.00 109.62 90.00
Fractional coordinates of all 8 atoms:
Ca: 0.0000 0.0000 0.0000
Ce: 0.5000 0.0000 0.5000
Ce: 0.5000 0.5000 0.0000
Er: 0.0000 0.5000 0.5000
As: 0.2484 0.0000 0.7437
As: 0.2554 0.5000 0.2583
As: 0.7446 0.5000 0.7417
As: 0.7516 0.0000 0.2563

Entry 9:
Here is a geometry-optimized CaCeEr2As4 structure from the Alexandria database. Energies are from PBE-GGA.

Summary:
DFT formation energy: -1.39 eV per atom
density: 6.68 g/cm3
total moment: 0.150 μB per formula unit

Lattice parameters (Å, degrees): 7.1537 4.1597 7.1952 90.00 109.05 90.00
Fractional coordinates of all 8 atoms:
Ca: 0.0000 0.0000 0.0000
Ce: 0.5000 0.5000 0.0000
Er: 0.0000 0.5000 0.5000
Er: 0.5000 0.0000 0.5000
As: 0.2514 0.0000 0.7442
As: 0.2590 0.5000 0.2574
As: 0.7410 0.5000 0.7426
As: 0.7486 0.0000 0.2558

Entry 10:
Here is a geometry-optimized Ca2CeHfAs4 structure from the Alexandria database. Energies are from PBE-GGA.

Summary:
DFT formation energy: -1.21 eV per atom
density: 5.84 g/cm3
total moment: 0.131 μB per formula unit

Lattice parameters (Å, degrees): 7.0995 4.1037 7.2151 90.00 109.02 90.00
Fractional coordinates of all 8 atoms:
Ca: 0.0000 0.0000 0.0000
Ca: 0.5000 0.5000 0.0000
Ce: 0.0000 0.5000 0.5000
Hf: 0.5000 0.0000 0.5000
As: 0.2572 0.0000 0.7308
As: 0.2696 0.5000 0.2746
As: 0.7304 0.5000 0.7254
As: 0.7428 0.0000 0.2692

Entry 11:
Here is a geometry-optimized CaCe2HoAs4 structure from the Alexandria database. Energies are from PBE-GGA.

Summary:
DFT formation energy: -1.39 eV per atom
density: 6.24 g/cm3
total moment: 0.957 μB per formula unit

Lattice parameters (Å, degrees): 7.2066 4.2096 7.3079 90.00 109.61 90.00
Fractional coordinates of all 8 atoms:
Ca: 0.0000 0.0000 0.0000
Ce: 0.5000 0.0000 0.5000
Ce: 0.5000 0.5000 0.0000
Ho: 0.0000 0.5000 0.5000
As: 0.2493 0.0000 0.7444
As: 0.2560 0.5000 0.2580
As: 0.7440 0.5000 0.7420
As: 0.7507 0.0000 0.2556

Entry 12:
Here is a geometry-optimized Ca3Ce2HoAs6 structure from the Alexandria database. Energies are from PBE-GGA.

Summary:
DFT formation energy: -1.26 eV per atom
density: 5.31 g/cm3
total moment: 0.000 μB per formula unit

Lattice parameters (Å, degrees): 7.3282 7.3282 7.2481 99.70 99.70 120.03
Fractional coordinates of all 12 atoms:
Ca: 0.0000 0.0000 0.0000
Ca: 0.3337 0.6663 0.0000
Ca: 0.6663 0.3337 0.0000
Ce: 0.1665 0.8335 0.5000
Ce: 0.8335 0.1665 0.5000
Ho: 0.5000 0.5000 0.5000
As: 0.0884 0.4218 0.2651
As: 0.2451 0.2451 0.7354
As: 0.4218 0.0884 0.2651
As: 0.5782 0.9116 0.7349
As: 0.7549 0.7549 0.2646
As: 0.9116 0.5782 0.7349

Entry 13:
Here is a geometry-optimized CaCeHo2As4 structure from the Alexandria database. Energies are from PBE-GGA.

Summary:
DFT formation energy: -1.40 eV per atom
density: 6.60 g/cm3
total moment: 0.149 μB per formula unit

Lattice parameters (Å, degrees): 7.1687 4.1693 7.2110 90.00 109.04 90.00
Fractional coordinates of all 8 atoms:
Ca: 0.0000 0.0000 0.0000
Ce: 0.5000 0.5000 0.0000
Ho: 0.0000 0.5000 0.5000
Ho: 0.5000 0.0000 0.5000
As: 0.2520 0.0000 0.7453
As: 0.2588 0.5000 0.2563
As: 0.7412 0.5000 0.7437
As: 0.7480 0.0000 0.2547

Entry 14:
Here is a geometry-optimized Ca3LaCe2As6 structure from the Alexandria database. Energies are from PBE-GGA.

Summary:
DFT formation energy: -1.26 eV per atom
density: 5.00 g/cm3
total moment: 0.000 μB per formula unit

Lattice parameters (Å, degrees): 7.4638 7.4638 7.2575 99.89 99.89 120.03
Fractional coordinates of all 12 atoms:
Ca: 0.0000 0.0000 0.0000
Ca: 0.3360 0.6640 0.0000
Ca: 0.6640 0.3360 0.0000
La: 0.5000 0.5000 0.5000
Ce: 0.1667 0.8333 0.5000
Ce: 0.8333 0.1667 0.5000
As: 0.0765 0.4204 0.2616
As: 0.2358 0.2358 0.7386
As: 0.4204 0.0765 0.2616
As: 0.5796 0.9235 0.7384
As: 0.7642 0.7642 0.2614
As: 0.9235 0.5796 0.7384

Entry 15:
Here is a geometry-optimized Ca2LaCeAs4 structure from the Alexandria database. Energies are from PBE-GGA.

Summary:
DFT formation energy: -1.24 eV per atom
density: 4.94 g/cm3
total moment: 0.000 μB per formula unit

Lattice parameters (Å, degrees): 7.2809 4.3227 7.4977 90.00 110.12 90.00
Fractional coordinates of all 8 atoms:
Ca: 0.0000 0.0000 0.0000
Ca: 0.0000 0.5000 0.5000
La: 0.5000 0.0000 0.5000
Ce: 0.5000 0.5000 0.0000
As: 0.2560 0.5000 0.2429
As: 0.2622 0.0000 0.7625
As: 0.7378 0.0000 0.2375
As: 0.7440 0.5000 0.7571

Entry 16:
Here is a geometry-optimized CaCe2MgAs4 structure from the Alexandria database. Energies are from PBE-GGA.

Summary:
DFT formation energy: -1.10 eV per atom
density: 5.25 g/cm3
total moment: 0.000 μB per formula unit

Lattice parameters (Å, degrees): 7.0061 4.2359 7.3362 90.00 110.69 90.00
Fractional coordinates of all 8 atoms:
Ca: 0.0000 0.0000 0.0000
Ce: 0.5000 0.0000 0.5000
Ce: 0.5000 0.5000 0.0000
Mg: 0.0000 0.5000 0.5000
As: 0.2523 0.0000 0.7446
As: 0.2601 0.5000 0.2571
As: 0.7399 0.5000 0.7429
As: 0.7477 0.0000 0.2554

Entry 17:
Here is a geometry-optimized Ca3Ce2MgAs6 structure from the Alexandria database. Energies are from PBE-GGA.

Summary:
DFT formation energy: -1.01 eV per atom
density: 4.63 g/cm3
total moment: 0.000 μB per formula unit

Lattice parameters (Å, degrees): 7.2348 7.2348 7.3294 99.41 99.41 120.14
Fractional coordinates of all 12 atoms:
Ca: 0.0000 0.0000 0.0000
Ca: 0.3352 0.6648 0.0000
Ca: 0.6648 0.3352 0.0000
Ce: 0.1665 0.8335 0.5000
Ce: 0.8335 0.1665 0.5000
Mg: 0.5000 0.5000 0.5000
As: 0.0869 0.4216 0.2639
As: 0.2446 0.2446 0.7363
As: 0.4216 0.0869 0.2639
As: 0.5784 0.9131 0.7361
As: 0.7554 0.7554 0.2637
As: 0.9131 0.5784 0.7361

Entry 18:
Here is a geometry-optimized CaCeAsN structure from the Alexandria database. Energies are from PBE-GGA.

Summary:
density: 5.08 g/cm3
formation energy (no corrections): -28.7 kcal/mol of atoms
total moment: 0.077 μB per formula unit

Lattice parameters (Å, degrees): 4.4473 4.4473 8.8918 90.00 90.00 90.00
Fractional coordinates of all 8 atoms:
Ca: 0.2500 0.7500 0.0000
Ca: 0.7500 0.2500 0.0000
Ce: 0.2500 0.2500 0.3313
Ce: 0.7500 0.7500 0.6687
As: 0.2500 0.2500 0.6775
As: 0.7500 0.7500 0.3225
N: 0.2500 0.2500 0.1054
N: 0.7500 0.7500 0.8946

Entry 19:
Here is a geometry-optimized Ca2CeNdAs4 structure from the Alexandria database. Energies are from PBE-GGA.

Summary:
DFT formation energy: -1.23 eV per atom
density: 5.08 g/cm3
total moment: 0.000 μB per formula unit

Lattice parameters (Å, degrees): 7.2930 4.2715 7.4164 90.00 109.87 90.00
Fractional coordinates of all 8 atoms:
Ca: 0.0000 0.0000 0.0000
Ca: 0.0000 0.5000 0.5000
Ce: 0.5000 0.0000 0.5000
Nd: 0.5000 0.5000 0.0000
As: 0.2579 0.0000 0.7472
As: 0.2627 0.5000 0.2600
As: 0.7373 0.5000 0.7400
As: 0.7421 0.0000 0.2528

Entry 20:
Here is a geometry-optimized CaCe3Nd2As6 structure from the Alexandria database. Energies are from PBE-GGA.

Summary:
DFT formation energy: -1.42 eV per atom
density: 6.13 g/cm3
total moment: 1.691 μB per formula unit

Lattice parameters (Å, degrees): 7.3592 7.3592 7.3396 99.62 99.62 119.98
Fractional coordinates of all 12 atoms:
Ca: 0.0000 0.0000 0.0000
Ce: 0.1661 0.8339 0.5000
Ce: 0.5000 0.5000 0.5000
Ce: 0.8339 0.1661 0.5000
Nd: 0.3331 0.6669 0.0000
Nd: 0.6669 0.3331 0.0000
As: 0.0860 0.4215 0.2578
As: 0.2495 0.2495 0.7419
As: 0.4215 0.0860 0.2578
As: 0.5785 0.9140 0.7422
As: 0.7505 0.7505 0.2581
As: 0.9140 0.5785 0.7422

Entry 21:
Here is a geometry-optimized CaCeNi2As2 structure from the Alexandria database. Energies are from PBE-GGA.

Summary:
DFT formation energy: -0.96 eV per atom
density: 6.42 g/cm3
total moment: 0.278 μB per formula unit

Lattice parameters (Å, degrees): 4.1063 4.1063 7.9269 90.00 90.00 120.00
Fractional coordinates of all 6 atoms:
Ca: 0.0000 0.0000 0.0000
Ce: 0.0000 0.0000 0.5000
Ni: 0.3333 0.6667 0.2683
Ni: 0.6667 0.3333 0.7317
As: 0.3333 0.6667 0.7472
As: 0.6667 0.3333 0.2528

Entry 22:
Here is a geometry-optimized CaCe2NpAs4 structure from the Alexandria database. Energies are from PBE-GGA.

Summary:
DFT formation energy: -1.16 eV per atom
density: 6.81 g/cm3
total moment: 4.949 μB per formula unit

Lattice parameters (Å, degrees): 7.2233 4.2064 7.2930 90.00 109.54 90.00
Fractional coordinates of all 8 atoms:
Ca: 0.0000 0.0000 0.0000
Ce: 0.5000 0.0000 0.5000
Ce: 0.5000 0.5000 0.0000
Np: 0.0000 0.5000 0.5000
As: 0.2471 0.0000 0.7429
As: 0.2537 0.5000 0.2589
As: 0.7463 0.5000 0.7411
As: 0.7529 0.0000 0.2571

Entry 23:
Here is a geometry-optimized Ca3CeNp2As6 structure from the Alexandria database. Energies are from PBE-GGA.

Summary:
DFT formation energy: -1.04 eV per atom
density: 6.27 g/cm3
total moment: 6.127 μB per formula unit

Lattice parameters (Å, degrees): 7.2794 7.2794 7.2476 99.63 99.63 120.01
Fractional coordinates of all 12 atoms:
Ca: 0.0000 0.0000 0.0000
Ca: 0.3348 0.6652 0.0000
Ca: 0.6652 0.3348 0.0000
Ce: 0.5000 0.5000 0.5000
Np: 0.1669 0.8331 0.5000
Np: 0.8331 0.1669 0.5000
As: 0.0839 0.4230 0.2694
As: 0.2376 0.2376 0.7305
As: 0.4230 0.0839 0.2694
As: 0.5770 0.9161 0.7306
As: 0.7624 0.7624 0.2695
As: 0.9161 0.5770 0.7306

Entry 24:
Here is a geometry-optimized Ca2CeNpAs4 structure from the Alexandria database. Energies are from PBE-GGA.

Summary:
DFT formation energy: -1.10 eV per atom
density: 5.97 g/cm3
total moment: 3.108 μB per formula unit

Lattice parameters (Å, degrees): 7.2504 4.2184 7.3078 90.00 109.66 90.00
Fractional coordinates of all 8 atoms:
Ca: 0.0000 0.0000 0.0000
Ca: 0.0000 0.5000 0.5000
Ce: 0.5000 0.0000 0.5000
Np: 0.5000 0.5000 0.0000
As: 0.2673 0.5000 0.2513
As: 0.2698 0.0000 0.7614
As: 0.7302 0.0000 0.2386
As: 0.7327 0.5000 0.7487